5
Lattice="5.0835 0.0000 0.0000 0.0000 5.0835 0.0000 0.0000 0.0000 5.0835" Properties=species:S:1:pos:R:3 comment="RbSbPt3 | the Alexandria database | PBE-GGA | optimized geometry" e_form_raw_ev_per_atom=1.992 polymorph_energy_mev_per_atom=2192 total_energy_ev_per_atom=-2.65 pbc="T T T"
Rb 0.0000 0.0000 0.0000
Sb 2.5417 2.5417 2.5417
Pt 0.0000 0.0000 2.5417
Pt 0.0000 2.5417 0.0000
Pt 2.5417 0.0000 0.0000

---

16
Lattice="8.2222 0.0000 0.0000 0.0000 8.2222 0.0000 0.0000 0.0000 8.2222" Properties=species:S:1:pos:R:3 comment="Rb2SbPt | the Alexandria database | PBE-GGA | optimized geometry" e_form_raw_ev_per_atom=0.418 total_energy_ev_per_atom=-2.61 pbc="T T T"
Rb 2.0556 2.0556 2.0556
Rb 2.0556 2.0556 6.1667
Rb 2.0556 6.1667 2.0556
Rb 2.0556 6.1667 6.1667
Rb 6.1667 2.0556 2.0556
Rb 6.1667 2.0556 6.1667
Rb 6.1667 6.1667 2.0556
Rb 6.1667 6.1667 6.1667
Sb 0.0000 0.0000 0.0000
Sb 0.0000 4.1111 4.1111
Sb 4.1111 0.0000 4.1111
Sb 4.1111 4.1111 0.0000
Pt 0.0000 0.0000 4.1111
Pt 0.0000 4.1111 0.0000
Pt 4.1111 0.0000 0.0000
Pt 4.1111 4.1111 4.1111

---

14
Lattice="3.7899 2.1881 8.7187 -3.7899 2.1881 8.7187 0.0000 -4.3762 8.7187" Properties=species:S:1:pos:R:3 comment="RbSb3Pt3 | the Alexandria database | PBE-GGA | optimized geometry" e_form_raw_ev_per_atom=-0.385 polymorph_energy_mev_per_atom=0 total_energy_ev_per_atom=-4.88 pbc="T T T"
Rb 0.0000 0.0000 4.3004
Rb 0.0000 0.0000 21.8557
Sb -1.2690 -2.0767 10.4031
Sb -2.4330 0.0606 15.7530
Sb -1.1640 2.1373 10.4031
Sb 1.1640 -2.1373 15.7530
Sb 2.4330 -0.0606 10.4031
Sb 1.2690 2.0767 15.7530
Pt -2.6016 0.0596 9.6661
Pt -1.3524 -2.2232 16.4900
Pt 1.2492 -2.2828 9.6661
Pt -1.2492 2.2828 16.4900
Pt 1.3524 2.2232 9.6661
Pt 2.6016 -0.0596 16.4900

---

10
Lattice="6.9864 0.0000 0.0000 0.0000 6.9864 0.0000 0.0000 0.0000 5.7580" Properties=species:S:1:pos:R:3 comment="Rb2SbPt2 | the Alexandria database | PBE-GGA | optimized geometry" e_form_raw_ev_per_atom=-0.166 polymorph_energy_mev_per_atom=129 total_energy_ev_per_atom=-3.79 pbc="T T T"
Rb 1.2308 2.2624 0.0000
Rb 2.2624 5.7556 0.0000
Rb 4.7240 1.2308 0.0000
Rb 5.7556 4.7240 0.0000
Sb 0.0000 0.0000 2.8790
Sb 3.4932 3.4932 2.8790
Pt 0.9368 4.4300 2.8790
Pt 2.5564 0.9368 2.8790
Pt 4.4300 6.0496 2.8790
Pt 6.0496 2.5564 2.8790